First-principles (PBE-GGA) data for a geometry-optimized TmMgPtPb structure, as listed in Alexandria via LeMat-Bulk.

Results
V, Å³ per cell: 87
SG: F-43m, No. 216
Formation energy from the elements, eV per atom: -0.58
Energy, eV/atom: -4.54

a b c (Å): 4.9668 4.9668 4.9668
angles (deg): 60.00 60.00 60.00
Last column: nearest neighbours and their distance in Å.
Fractional coordinates of all 4 atoms:
Tm  0.0000  0.0000  0.0000  4 Pt 3.04, 4 Pb 3.04
Mg  0.5000  0.5000  0.5000  4 Pt 3.04, 4 Pb 3.04
Pt  0.7500  0.7500  0.7500  4 Mg 3.04, 4 Tm 3.04
Pb  0.2500  0.2500  0.2500  4 Mg 3.04, 4 Tm 3.04